Entry 1:
First-principles (PBE) data for a relaxed structure of NpTlAgI6, as listed in Alexandria via LeMat-Bulk.

Cell lengths 7.7722, 7.7722, 15.4102 Å; angles 90.00, 90.00, 120.00 degrees
Space group P-31c (No. 163)
Symmetry-distinct sites (fractional):
Np (0.3333, 0.6667, 0.2500) x2
Tl (0.0000, 0.0000, 0.0000) x2
Ag (0.3333, 0.6667, 0.7500) x2
I (0.0057, 0.3631, 0.1362) x12

Computed properties:
- calculated volume (Å³/atom) = 44.788
- energy relative to the elements, uncorrected (eV per atom) = -0.6139
- M_tot (μB per formula unit) = 2.99
- density (Mg/m³) = 5.399

Entry 2:
First-principles (PBE) data for a relaxed structure of Ag2IO6, as listed in Alexandria via LeMat-Bulk.

Cell lengths 4.854, 5.339, 9.348 Å; angles 90.00, 90.00, 90.00 degrees
Space group Immm (No. 71)
Symmetry-distinct sites (fractional):
Ag (0.000, 0.000, 0.168) x4
I (0.000, 0.000, 0.500) x2
O (0.000, 0.243, 0.345) x8
O (0.000, 0.255, 0.000) x4

Computed properties:
- E above lowest polymorph (eV per atom) = 0.130
- calculated volume (Å³/atom) = 13.460
- energy relative to the elements, uncorrected (eV per atom) = 0.2071
- M_tot (μB per formula unit) = 0.00
- density (Mg/m³) = 6.013

Q: Look up the M_tot of the first one.
A: 2.99 μB per formula unit